# 1
! TiRhN2F | Alexandria | PBE | relaxed; values from VASP
! formation energy without anion corrections	385.3	meV/atom
! uncorrected energy	-31.8	eV per cell
! space group	No. 123
&SYSTEM
  ibrav = 0, nat = 5, ntyp = 4
/
ATOMIC_SPECIES
N 14.01 N.upf
Ti 47.87 Ti.upf
Rh 102.91 Rh.upf
F 19.00 F.upf
CELL_PARAMETERS angstrom
-2.249 -0.241 -3.189
0.577 -3.865 -0.114
-3.163 -0.539 2.272
ATOMIC_POSITIONS angstrom
N -1.125 -0.121 -1.594
N 0.288 -1.933 -0.057
Ti -2.418 -2.323 -0.515
Rh 0.000 0.000 0.000
F -1.582 -0.270 1.136

# 2
! LiInH2 | Alexandria | PBE | relaxed; values from VASP
! uncorrected energy	-11.5	eV per cell
! space group	No. 166
&SYSTEM
  ibrav = 0, nat = 4, ntyp = 3
/
ATOMIC_SPECIES
H 1.01 H.upf
In 114.82 In.upf
Li 6.94 Li.upf
CELL_PARAMETERS angstrom
3.025 0.000 0.000
1.513 2.620 0.000
1.513 0.873 6.075
ATOMIC_POSITIONS angstrom
H 4.538 2.620 1.998
In 0.000 0.000 0.000
Li 3.025 1.747 3.037
H 1.513 0.873 4.077

# 3
! CeNd3Tl4 | Alexandria | PBE | relaxed; values from VASP
! formation energy from the elements	-0.34	eV per atom
! uncorrected energy	-32.5	eV per cell
! space group	No. 123
&SYSTEM
  ibrav = 0, nat = 8, ntyp = 3
/
ATOMIC_SPECIES
Ce 140.12 Ce.upf
Tl 204.38 Tl.upf
Nd 144.24 Nd.upf
CELL_PARAMETERS angstrom
-0.658 3.702 -0.977
-2.154 0.461 3.199
12.890 4.414 8.042
ATOMIC_POSITIONS angstrom
Ce -1.406 2.082 1.111
Tl 11.265 3.857 7.028
Tl 1.626 0.557 1.014
Tl 4.832 1.655 3.015
Tl 8.058 2.759 5.027
Nd 5.039 4.288 5.132
Nd 8.257 5.390 7.140
Nd 1.821 3.187 3.125

Repeat the third record exactly.
! CeNd3Tl4 | Alexandria | PBE | relaxed; values from VASP
! formation energy from the elements	-0.34	eV per atom
! uncorrected energy	-32.5	eV per cell
! space group	No. 123
&SYSTEM
  ibrav = 0, nat = 8, ntyp = 3
/
ATOMIC_SPECIES
Ce 140.12 Ce.upf
Tl 204.38 Tl.upf
Nd 144.24 Nd.upf
CELL_PARAMETERS angstrom
-0.658 3.702 -0.977
-2.154 0.461 3.199
12.890 4.414 8.042
ATOMIC_POSITIONS angstrom
Ce -1.406 2.082 1.111
Tl 11.265 3.857 7.028
Tl 1.626 0.557 1.014
Tl 4.832 1.655 3.015
Tl 8.058 2.759 5.027
Nd 5.039 4.288 5.132
Nd 8.257 5.390 7.140
Nd 1.821 3.187 3.125

What is the formula in the third record? CeNd3Tl4